No. 1
{
  "formula": "NaLuBi2",
  "functional": "PBE",
  "state": "relaxed",
  "lattice_angstrom": [[7.725, 0.000, 0.000], [0.000, 7.725, 0.000], [0.000, 0.000, 7.725]],
  "species": ["Na", "Na", "Na", "Na", "Lu", "Lu", "Lu", "Lu", "Bi", "Bi", "Bi", "Bi", "Bi", "Bi", "Bi", "Bi"],
  "fractional_positions": [[0.000, 0.000, 0.000], [0.000, 0.500, 0.500], [0.500, 0.000, 0.500], [0.500, 0.500, 0.000], [0.000, 0.000, 0.500], [0.000, 0.500, 0.000], [0.500, 0.000, 0.000], [0.500, 0.500, 0.500], [0.250, 0.250, 0.250], [0.250, 0.250, 0.750], [0.250, 0.750, 0.250], [0.250, 0.750, 0.750], [0.750, 0.250, 0.250], [0.750, 0.250, 0.750], [0.750, 0.750, 0.250], [0.750, 0.750, 0.750]],
  "volume_a3_per_atom": 28.81,
  "e_tot_ev_per_atom": -3.74,
  "space_group": "Fm-3m",
  "e_above_lowest_polymorph_ev_per_fu": 0.384
}


No. 2
{
  "formula": "NaLuBi2",
  "functional": "PBE",
  "state": "relaxed",
  "lattice_angstrom": [[5.161, 0.000, 0.000], [0.000, 5.161, 0.000], [0.000, 0.000, 4.254]],
  "species": ["Na", "Lu", "Bi", "Bi"],
  "fractional_positions": [[0.000, 0.000, 0.000], [0.500, 0.500, 0.000], [0.000, 0.500, 0.500], [0.500, 0.000, 0.500]],
  "volume_a3_per_atom": 28.33,
  "e_tot_ev_per_atom": -3.78,
  "space_group": "P4/mmm",
  "e_above_lowest_polymorph_ev_per_fu": 0.232
}


No. 3
{
  "formula": "NaLuBiPd",
  "functional": "PBE",
  "state": "relaxed",
  "lattice_angstrom": [[7.201, 0.000, 0.000], [0.000, 7.201, 0.000], [0.000, 0.000, 7.201]],
  "species": ["Na", "Na", "Na", "Na", "Lu", "Lu", "Lu", "Lu", "Bi", "Bi", "Bi", "Bi", "Pd", "Pd", "Pd", "Pd"],
  "fractional_positions": [[0.000, 0.000, 0.000], [0.000, 0.500, 0.500], [0.500, 0.000, 0.500], [0.500, 0.500, 0.000], [0.000, 0.000, 0.500], [0.000, 0.500, 0.000], [0.500, 0.000, 0.000], [0.500, 0.500, 0.500], [0.250, 0.250, 0.750], [0.250, 0.750, 0.250], [0.750, 0.250, 0.250], [0.750, 0.750, 0.750], [0.250, 0.250, 0.250], [0.250, 0.750, 0.750], [0.750, 0.250, 0.750], [0.750, 0.750, 0.250]],
  "volume_a3_per_atom": 23.34,
  "e_tot_ev_per_atom": -4.18,
  "space_group": "F-43m"
}


No. 4
{
  "formula": "LuNbBi2",
  "functional": "PBE",
  "state": "relaxed",
  "lattice_angstrom": [[3.536, 0.000, 0.000], [-1.768, 3.062, 0.000], [0.000, 0.000, 31.552]],
  "species": ["Lu", "Lu", "Lu", "Nb", "Nb", "Nb", "Bi", "Bi", "Bi", "Bi", "Bi", "Bi"],
  "fractional_positions": [[0.000, 0.000, 0.000], [0.333, 0.667, 0.667], [0.667, 0.333, 0.333], [0.000, 0.000, 0.500], [0.333, 0.667, 0.167], [0.667, 0.333, 0.833], [0.000, 0.000, 0.100], [0.000, 0.000, 0.900], [0.333, 0.667, 0.567], [0.333, 0.667, 0.766], [0.667, 0.333, 0.234], [0.667, 0.333, 0.433]],
  "volume_a3_per_atom": 28.47,
  "e_tot_ev_per_atom": -5.42,
  "space_group": "R-3m"
}


No. 5
{
  "formula": "NdLu2Bi",
  "functional": "PBE",
  "state": "relaxed",
  "lattice_angstrom": [[3.987, 0.000, 0.000], [0.000, 3.987, 0.000], [0.000, 0.000, 7.521]],
  "species": ["Nd", "Lu", "Lu", "Bi"],
  "fractional_positions": [[0.000, 0.000, 0.000], [0.500, 0.500, 0.275], [0.500, 0.500, 0.725], [0.000, 0.000, 0.500]],
  "volume_a3_per_atom": 29.89,
  "e_tot_ev_per_atom": -4.72,
  "space_group": "P4/mmm",
  "e_above_lowest_polymorph_ev_per_fu": 0.059
}


No. 6
{
  "formula": "NdLuBi",
  "functional": "PBE",
  "state": "relaxed",
  "lattice_angstrom": [[5.218, 0.000, 0.000], [-2.609, 4.519, 0.000], [0.000, 0.000, 4.047]],
  "species": ["Nd", "Lu", "Bi"],
  "fractional_positions": [[0.000, 0.000, 0.000], [0.333, 0.667, 0.476], [0.667, 0.333, 0.583]],
  "volume_a3_per_atom": 31.81,
  "e_tot_ev_per_atom": -4.67,
  "space_group": "P3m1"
}


No. 7
{
  "formula": "NdLuBi",
  "functional": "PBE",
  "state": "relaxed",
  "lattice_angstrom": [[4.059, 0.000, 0.000], [0.000, 4.059, 0.000], [0.000, 0.000, 11.118]],
  "species": ["Nd", "Nd", "Lu", "Lu", "Bi", "Bi"],
  "fractional_positions": [[0.000, 0.000, 0.000], [0.500, 0.500, 0.500], [0.000, 0.000, 0.310], [0.500, 0.500, 0.810], [0.000, 0.000, 0.669], [0.500, 0.500, 0.169]],
  "volume_a3_per_atom": 30.52,
  "e_tot_ev_per_atom": -4.83,
  "space_group": "I4mm"
}


No. 8
{
  "formula": "NdLuBi2",
  "functional": "PBE",
  "state": "relaxed",
  "lattice_angstrom": [[3.826, 0.000, 0.000], [0.000, 3.826, 0.000], [0.000, 0.000, 8.162]],
  "species": ["Nd", "Lu", "Bi", "Bi"],
  "fractional_positions": [[0.000, 0.000, 0.000], [0.000, 0.000, 0.500], [0.500, 0.500, 0.263], [0.500, 0.500, 0.737]],
  "volume_a3_per_atom": 29.87,
  "e_tot_ev_per_atom": -4.84,
  "space_group": "P4/mmm"
}


No. 9
{
  "formula": "NdLu2Bi",
  "functional": "PBE",
  "state": "relaxed",
  "lattice_angstrom": [[4.874, 0.000, 0.000], [0.000, 4.874, 0.000], [0.000, 0.000, 4.879]],
  "species": ["Nd", "Lu", "Lu", "Bi"],
  "fractional_positions": [[0.000, 0.000, 0.000], [0.000, 0.500, 0.500], [0.500, 0.000, 0.500], [0.500, 0.500, 0.000]],
  "volume_a3_per_atom": 28.98,
  "e_tot_ev_per_atom": -4.73,
  "space_group": "P4/mmm",
  "e_above_lowest_polymorph_ev_per_fu": 0.000
}


No. 10
{
  "formula": "NdLuBiPb",
  "functional": "PBE",
  "state": "relaxed",
  "lattice_angstrom": [[7.818, 0.000, 0.000], [0.000, 7.818, 0.000], [0.000, 0.000, 7.818]],
  "species": ["Nd", "Nd", "Nd", "Nd", "Lu", "Lu", "Lu", "Lu", "Bi", "Bi", "Bi", "Bi", "Pb", "Pb", "Pb", "Pb"],
  "fractional_positions": [[0.000, 0.000, 0.000], [0.000, 0.500, 0.500], [0.500, 0.000, 0.500], [0.500, 0.500, 0.000], [0.000, 0.000, 0.500], [0.000, 0.500, 0.000], [0.500, 0.000, 0.000], [0.500, 0.500, 0.500], [0.250, 0.250, 0.750], [0.250, 0.750, 0.250], [0.750, 0.250, 0.250], [0.750, 0.750, 0.750], [0.250, 0.250, 0.250], [0.250, 0.750, 0.750], [0.750, 0.250, 0.750], [0.750, 0.750, 0.250]],
  "volume_a3_per_atom": 29.87,
  "e_tot_ev_per_atom": -4.65,
  "space_group": "F-43m"
}


No. 11
{
  "formula": "NdLuTlBi",
  "functional": "PBE",
  "state": "relaxed",
  "lattice_angstrom": [[7.757, 0.000, 0.000], [0.000, 7.757, 0.000], [0.000, 0.000, 7.757]],
  "species": ["Nd", "Nd", "Nd", "Nd", "Lu", "Lu", "Lu", "Lu", "Tl", "Tl", "Tl", "Tl", "Bi", "Bi", "Bi", "Bi"],
  "fractional_positions": [[0.000, 0.000, 0.000], [0.000, 0.500, 0.500], [0.500, 0.000, 0.500], [0.500, 0.500, 0.000], [0.000, 0.000, 0.500], [0.000, 0.500, 0.000], [0.500, 0.000, 0.000], [0.500, 0.500, 0.500], [0.250, 0.250, 0.750], [0.250, 0.750, 0.250], [0.750, 0.250, 0.250], [0.750, 0.750, 0.750], [0.250, 0.250, 0.250], [0.250, 0.750, 0.750], [0.750, 0.250, 0.750], [0.750, 0.750, 0.250]],
  "volume_a3_per_atom": 29.17,
  "e_tot_ev_per_atom": -4.27,
  "space_group": "F-43m"
}


No. 12
{
  "formula": "LuNi2Bi",
  "functional": "PBE",
  "state": "relaxed",
  "lattice_angstrom": [[6.549, 0.000, 0.000], [0.000, 6.549, 0.000], [0.000, 0.000, 6.549]],
  "species": ["Lu", "Lu", "Lu", "Lu", "Ni", "Ni", "Ni", "Ni", "Ni", "Ni", "Ni", "Ni", "Bi", "Bi", "Bi", "Bi"],
  "fractional_positions": [[0.000, 0.000, 0.000], [0.000, 0.500, 0.500], [0.500, 0.000, 0.500], [0.500, 0.500, 0.000], [0.250, 0.250, 0.250], [0.250, 0.250, 0.750], [0.250, 0.750, 0.250], [0.250, 0.750, 0.750], [0.750, 0.250, 0.250], [0.750, 0.250, 0.750], [0.750, 0.750, 0.250], [0.750, 0.750, 0.750], [0.000, 0.000, 0.500], [0.000, 0.500, 0.000], [0.500, 0.000, 0.000], [0.500, 0.500, 0.500]],
  "volume_a3_per_atom": 17.56,
  "e_tot_ev_per_atom": -5.28,
  "space_group": "Fm-3m",
  "e_above_lowest_polymorph_ev_per_fu": 0.000
}


No. 13
{
  "formula": "LuNiBi2",
  "functional": "PBE",
  "state": "relaxed",
  "lattice_angstrom": [[3.543, 0.000, 0.000], [-1.771, 3.068, 0.000], [0.000, 0.000, 29.463]],
  "species": ["Lu", "Lu", "Lu", "Ni", "Ni", "Ni", "Bi", "Bi", "Bi", "Bi", "Bi", "Bi"],
  "fractional_positions": [[0.000, 0.000, 0.000], [0.333, 0.667, 0.667], [0.667, 0.333, 0.333], [0.000, 0.000, 0.500], [0.333, 0.667, 0.167], [0.667, 0.333, 0.833], [0.000, 0.000, 0.106], [0.000, 0.000, 0.894], [0.333, 0.667, 0.560], [0.333, 0.667, 0.773], [0.667, 0.333, 0.227], [0.667, 0.333, 0.440]],
  "volume_a3_per_atom": 26.68,
  "e_tot_ev_per_atom": -4.40,
  "space_group": "R-3m"
}


No. 14
{
  "formula": "LuNi2Bi",
  "functional": "PBE",
  "state": "relaxed",
  "lattice_angstrom": [[4.450, 0.000, 0.000], [0.000, 4.450, 0.000], [0.000, 0.000, 3.646]],
  "species": ["Lu", "Ni", "Ni", "Bi"],
  "fractional_positions": [[0.000, 0.000, 0.000], [0.000, 0.500, 0.500], [0.500, 0.000, 0.500], [0.500, 0.500, 0.000]],
  "volume_a3_per_atom": 18.05,
  "e_tot_ev_per_atom": -5.20,
  "space_group": "P4/mmm",
  "e_above_lowest_polymorph_ev_per_fu": 0.310
}


No. 15
{
  "formula": "Lu5Ni2Bi",
  "functional": "PBE",
  "state": "relaxed",
  "lattice_angstrom": [[-3.746, 3.746, 6.734], [3.746, -3.746, 6.734], [3.746, 3.746, -6.734]],
  "species": ["Lu", "Lu", "Lu", "Lu", "Lu", "Lu", "Lu", "Lu", "Lu", "Lu", "Ni", "Ni", "Ni", "Ni", "Bi", "Bi"],
  "fractional_positions": [[0.000, 0.000, 0.000], [0.024, 0.524, 0.813], [0.211, 0.024, 0.500], [0.289, 0.789, 0.813], [0.476, 0.289, 0.500], [0.500, 0.500, 0.000], [0.524, 0.711, 0.500], [0.711, 0.211, 0.187], [0.789, 0.976, 0.500], [0.976, 0.476, 0.187], [0.133, 0.367, 0.500], [0.367, 0.867, 0.234], [0.633, 0.133, 0.766], [0.867, 0.633, 0.500], [0.250, 0.250, 0.000], [0.750, 0.750, 0.000]],
  "volume_a3_per_atom": 23.63,
  "e_tot_ev_per_atom": -5.24,
  "space_group": "I4/mcm"
}


No. 16
{
  "formula": "LuNiBiRh",
  "functional": "PBE",
  "state": "relaxed",
  "lattice_angstrom": [[6.667, 0.000, 0.000], [0.000, 6.667, 0.000], [0.000, 0.000, 6.667]],
  "species": ["Lu", "Lu", "Lu", "Lu", "Ni", "Ni", "Ni", "Ni", "Bi", "Bi", "Bi", "Bi", "Rh", "Rh", "Rh", "Rh"],
  "fractional_positions": [[0.000, 0.000, 0.000], [0.000, 0.500, 0.500], [0.500, 0.000, 0.500], [0.500, 0.500, 0.000], [0.250, 0.250, 0.750], [0.250, 0.750, 0.250], [0.750, 0.250, 0.250], [0.750, 0.750, 0.750], [0.000, 0.000, 0.500], [0.000, 0.500, 0.000], [0.500, 0.000, 0.000], [0.500, 0.500, 0.500], [0.250, 0.250, 0.250], [0.250, 0.750, 0.750], [0.750, 0.250, 0.750], [0.750, 0.750, 0.250]],
  "volume_a3_per_atom": 18.52,
  "e_tot_ev_per_atom": -5.81,
  "space_group": "F-43m"
}


No. 17
{
  "formula": "LuBiO2",
  "functional": "PBE",
  "state": "relaxed",
  "lattice_angstrom": [[3.429, 0.000, 0.000], [-1.715, 2.970, 0.000], [0.000, 0.000, 20.813]],
  "species": ["Lu", "Lu", "Lu", "Bi", "Bi", "Bi", "O", "O", "O", "O", "O", "O"],
  "fractional_positions": [[0.000, 0.000, 0.000], [0.333, 0.667, 0.667], [0.667, 0.333, 0.333], [0.000, 0.000, 0.500], [0.333, 0.667, 0.167], [0.667, 0.333, 0.833], [0.000, 0.000, 0.384], [0.000, 0.000, 0.616], [0.333, 0.667, 0.051], [0.333, 0.667, 0.283], [0.667, 0.333, 0.717], [0.667, 0.333, 0.949]],
  "volume_a3_per_atom": 17.66,
  "e_tot_ev_per_atom": -7.06,
  "space_group": "R-3m"
}


No. 18
{
  "formula": "Lu2BiOs",
  "functional": "PBE",
  "state": "relaxed",
  "lattice_angstrom": [[3.374, 0.000, 0.000], [0.000, 3.374, 0.000], [0.000, 0.000, 8.358]],
  "species": ["Lu", "Lu", "Bi", "Os"],
  "fractional_positions": [[0.000, 0.000, 0.193], [0.000, 0.000, 0.807], [0.500, 0.500, 0.500], [0.500, 0.500, 0.000]],
  "volume_a3_per_atom": 23.78,
  "e_tot_ev_per_atom": -6.54,
  "space_group": "P4/mmm"
}


No. 19
{
  "formula": "LuPaBi2",
  "functional": "PBE",
  "state": "relaxed",
  "lattice_angstrom": [[4.419, 0.000, 0.000], [-2.209, 3.827, 0.000], [0.000, 0.000, 22.123]],
  "species": ["Lu", "Lu", "Lu", "Pa", "Pa", "Pa", "Bi", "Bi", "Bi", "Bi", "Bi", "Bi"],
  "fractional_positions": [[0.000, 0.000, 0.000], [0.333, 0.667, 0.667], [0.667, 0.333, 0.333], [0.000, 0.000, 0.500], [0.333, 0.667, 0.167], [0.667, 0.333, 0.833], [0.000, 0.000, 0.253], [0.000, 0.000, 0.747], [0.333, 0.667, 0.413], [0.333, 0.667, 0.920], [0.667, 0.333, 0.080], [0.667, 0.333, 0.587]],
  "volume_a3_per_atom": 31.17,
  "e_tot_ev_per_atom": -5.81,
  "space_group": "R-3m",
  "e_above_lowest_polymorph_ev_per_fu": 0.000
}


No. 20
{
  "formula": "LuPaBi2",
  "functional": "PBE",
  "state": "relaxed",
  "lattice_angstrom": [[5.365, 0.000, 0.000], [0.000, 5.365, 0.000], [0.000, 0.000, 3.904]],
  "species": ["Lu", "Pa", "Bi", "Bi"],
  "fractional_positions": [[0.000, 0.000, 0.000], [0.500, 0.500, 0.000], [0.000, 0.500, 0.500], [0.500, 0.000, 0.500]],
  "volume_a3_per_atom": 28.09,
  "e_tot_ev_per_atom": -5.74,
  "space_group": "P4/mmm",
  "e_above_lowest_polymorph_ev_per_fu": 0.294
}